Below is a geometry-optimized TaAl2Os structure, with properties calculated at the PBE-GGA level.

Geometry as CIF:
```
data_TaAl2Os
_chemical_formula_sum 'Ta3 Al6 Os3'
_cell_length_a 2.8889
_cell_length_b 2.8889
_cell_length_c 26.2166
_cell_angle_alpha 90.00
_cell_angle_beta 90.00
_cell_angle_gamma 120.00
_symmetry_space_group_name_H-M 'R -3 m'
_symmetry_Int_Tables_number 166
_symmetry_space_group_name_Hall '-R 3 2"'
loop_
_atom_site_label
_atom_site_fract_x
_atom_site_fract_y
_atom_site_fract_z
Ta1 0.0000 0.0000 0.0000
Al1 0.0000 0.0000 0.2441
Os1 0.0000 0.0000 0.5000
```

## Properties
Total magnetic moment, μB/f.u.: 0.00
Energy above the most stable polymorph in this dataset, meV/atom: 292
Formation energy from the elements, eV per atom: -0.09
Total DFT energy (no corrections), eV per atom: -7.735
Fermi-level density of states, states/eV/f.u.: 2.98